Density functional theory data (PBE) for Sm4Tl3Pb after structural relaxation.

The structure in POSCAR format:
```
Sm4Tl3Pb
1.0
-0.267 -5.625 0.303
-0.156 -0.389 -7.356
11.104 -0.537 -0.208
Tl Sm Pb
6 8 2
direct
0.429 0.000 0.250
0.433 0.500 0.250
0.000 0.000 0.000
0.567 0.500 0.750
0.571 0.000 0.750
0.000 0.000 0.500
0.500 0.248 0.500
0.938 0.249 0.250
0.500 0.752 0.500
0.500 0.248 0.000
0.938 0.751 0.250
0.500 0.752 0.000
0.062 0.751 0.750
0.062 0.249 0.750
0.000 0.500 0.500
0.000 0.500 0.000
```

Output
Magnetization ... 0.0 Bohr magnetons per cell
ΔH_f (0 K) ... -0.401 eV per atom
SG ... Pmma, No. 51
Calculated total energy ... -4.11 eV/atom
Crystal system ... orthorhombic

Density functional theory data (PBE) for Sm3TlPb2 after structural relaxation.

The structure in POSCAR format:
```
Sm3TlPb2
1.0
-3.860 2.737 -0.874
2.151 -0.693 -11.669
-7.341 -10.585 -0.725
Tl Pb Sm
4 8 12
direct
0.750 0.852 0.846
0.750 0.648 0.346
0.250 0.352 0.654
0.250 0.148 0.154
0.750 0.170 0.004
0.250 0.830 0.996
0.250 0.540 0.821
0.250 0.960 0.321
0.750 0.040 0.679
0.250 0.670 0.496
0.750 0.460 0.179
0.750 0.330 0.504
0.250 0.425 0.361
0.750 0.876 0.467
0.250 0.680 0.198
0.750 0.180 0.302
0.250 0.376 0.033
0.250 0.124 0.533
0.750 0.624 0.967
0.750 0.925 0.139
0.750 0.320 0.802
0.250 0.820 0.698
0.250 0.075 0.861
0.750 0.575 0.639
```

Output
Magnetization ... 0.0 Bohr magnetons per cell
ΔH_f (0 K) ... -0.404 eV per atom
SG ... Pnma, No. 62
Calculated total energy ... -4.39 eV/atom
Distance to the lowest polymorph of the same formula ... 0.026 eV/atom
Crystal system ... orthorhombic

Density functional theory data (PBE) for Sm3TlPb3 after structural relaxation.

The structure in POSCAR format:
```
Sm3TlPb3
1.0
-4.742 -1.898 -2.915
4.879 -0.450 -7.644
-0.496 -7.207 5.500
Tl Pb Sm
2 6 6
direct
0.750 0.333 0.667
0.250 0.667 0.333
0.250 0.256 0.055
0.750 0.201 0.256
0.750 0.055 0.799
0.250 0.799 0.744
0.250 0.945 0.201
0.750 0.744 0.945
0.750 0.447 0.089
0.750 0.642 0.553
0.250 0.089 0.642
0.250 0.358 0.447
0.750 0.911 0.358
0.250 0.553 0.911
```

Output
Magnetization ... 0.0 Bohr magnetons per cell
ΔH_f (0 K) ... -0.293 eV per atom
SG ... P6_3/m, No. 176
Calculated total energy ... -4.24 eV/atom
Crystal system ... hexagonal

Density functional theory data (PBE) for SmTlPb3 after structural relaxation.

The structure in POSCAR format:
```
SmTlPb3
1.0
-3.274 -3.732 4.799
-9.155 -3.569 -6.400
3.941 -2.391 0.824
Pb Tl Sm
6 2 2
direct
0.906 0.400 0.600
0.697 0.212 0.817
0.000 0.000 0.000
0.094 0.600 0.400
0.303 0.788 0.183
0.500 0.000 0.000
0.600 0.609 0.415
0.400 0.391 0.585
0.798 0.821 0.232
0.202 0.179 0.768
```

Output
Magnetization ... 0.0 Bohr magnetons per cell
ΔH_f (0 K) ... -0.239 eV per atom
SG ... P-1, No. 2
Calculated total energy ... -3.88 eV/atom
Crystal system ... triclinic

Density functional theory data (PBE) for Sm2Tl2Pb after structural relaxation.

The structure in POSCAR format:
```
Sm2Tl2Pb
1.0
-2.165 0.105 -4.829
4.807 -2.103 0.700
-5.257 -11.312 2.111
Tl Pb Sm
4 2 4
direct
0.333 0.667 0.250
0.667 0.333 0.750
0.000 0.000 0.000
0.000 0.000 0.500
0.000 0.000 0.250
0.000 0.000 0.750
0.333 0.667 0.901
0.333 0.667 0.599
0.667 0.333 0.099
0.667 0.333 0.401
```

Output
Magnetization ... 0.0 Bohr magnetons per cell
ΔH_f (0 K) ... -0.203 eV per atom
SG ... P6_3/mmc, No. 194
Calculated total energy ... -3.78 eV/atom
Distance to the lowest polymorph of the same formula ... 0.132 eV/atom
Crystal system ... hexagonal

Density functional theory data (PBE) for Sm5TlPb2 after structural relaxation.

The structure in POSCAR format:
```
Sm5TlPb2
1.0
7.581 0.000 -3.579
-1.689 7.391 -3.579
-0.258 -0.324 9.272
Sm Pb Tl
10 4 2
direct
0.689 0.189 0.698
0.991 0.491 0.302
0.491 0.311 0.302
0.000 0.000 0.000
0.009 0.509 0.698
0.811 0.991 0.302
0.189 0.009 0.698
0.500 0.500 0.000
0.509 0.689 0.698
0.311 0.811 0.302
0.359 0.859 0.000
0.859 0.641 0.000
0.141 0.359 0.000
0.641 0.141 0.000
0.750 0.750 0.500
0.250 0.250 0.500
```

Output
Magnetization ... 1.6 Bohr magnetons per cell
ΔH_f (0 K) ... -0.406 eV per atom
SG ... I4/mcm, No. 140
Calculated total energy ... -4.58 eV/atom
Crystal system ... tetragonal

no.,volume (Å³/atom)
1,28.87
2,30.74
3,29.99
4,29.82
5,30.70
6,31.37